[1]
Entry from the Alexandria database: PrIn4Ni4 after structural relaxation (PBE).

Cell and atoms, written as extended XYZ:
```
18
Lattice="8.514 0.000 0.000 0.000 8.514 0.000 0.000 0.000 5.133" Properties=species:S:1:pos:R:3 pbc="T T T"
Pr 2.128 2.128 1.283
Pr 6.385 6.385 3.850
In 0.807 5.424 0.746
In 1.167 7.706 3.312
In 3.089 5.064 3.312
In 3.450 7.346 0.746
In 5.064 1.167 4.387
In 5.424 3.450 1.821
In 7.346 0.807 1.821
In 7.706 3.089 4.387
Ni 0.460 5.093 3.306
Ni 0.836 8.053 0.740
Ni 3.421 4.717 0.740
Ni 3.796 7.678 3.306
Ni 4.717 0.836 1.826
Ni 5.093 3.796 4.393
Ni 7.678 0.460 4.393
Ni 8.053 3.421 1.826
```

Computed properties:
Symmetry: P4_2/n
M_tot in μB per cell: 0.00

***

[2]
Entry from the Alexandria database: Pr3In3Ni2 after structural relaxation (PBE).

Cell and atoms, written as extended XYZ:
```
8
Lattice="8.658 -2.227 0.000 8.658 2.227 0.000 -0.960 0.000 5.123" Properties=species:S:1:pos:R:3 pbc="T T T"
Pr 0.000 0.000 0.000
Pr 2.261 0.000 3.039
Pr 14.095 0.000 2.083
In 5.327 0.000 4.691
In 8.178 0.000 2.561
In 11.028 0.000 0.432
Ni 3.820 0.000 0.593
Ni 12.536 0.000 4.529
```

Computed properties:
Symmetry: C2/m
M_tot in μB per cell: 0.00

***

[3]
Entry from the Alexandria database: Pr12InNi6 after structural relaxation (PBE).

Cell and atoms, written as extended XYZ:
```
19
Lattice="-5.074 5.074 5.074 5.074 -5.074 5.074 5.074 5.074 -5.074" Properties=species:S:1:pos:R:3 pbc="T T T"
Pr 5.074 -1.959 3.192
Pr 3.114 1.881 0.000
Pr 7.033 1.881 0.000
Pr 3.192 5.074 -1.959
Pr 1.881 0.000 3.114
Pr 0.000 3.114 1.881
Pr 5.074 1.959 3.192
Pr 3.192 5.074 1.959
Pr 1.881 0.000 7.033
Pr -1.959 3.192 5.074
Pr 1.959 3.192 5.074
Pr 0.000 7.033 1.881
In 0.000 0.000 0.000
Ni 5.074 0.000 1.226
Ni 5.074 3.848 0.000
Ni 1.226 5.074 0.000
Ni 3.848 0.000 5.074
Ni 0.000 1.226 5.074
Ni 0.000 5.074 3.848
```

Computed properties:
Symmetry: Im-3
M_tot in μB per cell: 0.00

***

[4]
Entry from the Alexandria database: PrIn2Ni after structural relaxation (PBE).

Cell and atoms, written as extended XYZ:
```
8
Lattice="4.426 0.000 0.000 0.000 7.481 0.000 -2.175 0.000 5.433" Properties=species:S:1:pos:R:3 pbc="T T T"
Pr 0.010 1.870 0.705
Pr 2.240 5.611 4.728
In 0.029 0.380 3.824
In 0.029 3.360 3.824
In 2.222 4.120 1.609
In 2.222 7.101 1.609
Ni 0.010 5.611 2.334
Ni 2.241 1.870 3.099
```

Computed properties:
Symmetry: P2_1/m
M_tot in μB per cell: 0.00

***

[5]
Entry from the Alexandria database: Pr4In12Ni after structural relaxation (PBE).

Cell and atoms, written as extended XYZ:
```
17
Lattice="-4.765 4.765 4.765 4.765 -4.765 4.765 4.765 4.765 -4.765" Properties=species:S:1:pos:R:3 pbc="T T T"
Pr 2.382 2.382 -2.382
Pr 2.382 -2.382 2.382
Pr -2.382 2.382 2.382
Pr 2.382 2.382 2.382
In 2.629 0.000 0.000
In 6.900 0.000 0.000
In 4.765 2.382 0.000
In 4.765 0.000 2.382
In 0.000 2.629 0.000
In 0.000 0.000 2.629
In 2.382 4.765 0.000
In 2.382 0.000 4.765
In 0.000 6.900 0.000
In 0.000 0.000 6.900
In 0.000 4.765 2.382
In 0.000 2.382 4.765
Ni 0.000 0.000 0.000
```

Computed properties:
Symmetry: Im-3m
M_tot in μB per cell: 0.00

***

[6]
Entry from the Alexandria database: PrInNi after structural relaxation (PBE).

Cell and atoms, written as extended XYZ:
```
3
Lattice="4.576 0.000 0.000 -2.288 3.963 0.000 0.000 0.000 3.892" Properties=species:S:1:pos:R:3 pbc="T T T"
Pr 0.000 0.000 0.000
In 2.288 1.321 1.946
Ni 0.000 2.642 1.946
```

Computed properties:
Symmetry: P-6m2
M_tot in μB per cell: 0.00

***

[7]
Entry from the Alexandria database: Pr8In2Ni after structural relaxation (PBE).

Cell and atoms, written as extended XYZ:
```
11
Lattice="9.655 -2.628 0.000 9.655 2.628 0.000 -1.749 0.000 6.787" Properties=species:S:1:pos:R:3 pbc="T T T"
Pr -0.228 0.000 1.905
Pr 2.657 0.000 5.431
Pr 5.926 0.000 3.543
Pr 7.831 0.000 0.295
Pr 9.730 0.000 6.492
Pr 11.635 0.000 3.244
Pr 14.904 0.000 1.356
Pr 17.789 0.000 4.882
In 3.102 0.000 1.663
In 14.460 0.000 5.125
Ni 8.781 0.000 3.394
```

Computed properties:
Symmetry: C2/m
M_tot in μB per cell: 0.00

***

[8]
Entry from the Alexandria database: PrIn3Ni2 after structural relaxation (PBE).

Cell and atoms, written as extended XYZ:
```
12
Lattice="4.878 -4.381 0.000 4.878 4.381 0.000 0.000 0.000 5.757" Properties=species:S:1:pos:R:3 pbc="T T T"
Pr 4.878 3.363 4.318
Pr 4.878 -3.363 1.439
In 3.188 2.382 1.439
In 6.569 2.382 1.439
In 4.878 0.130 4.318
In 4.878 -0.130 1.439
In 3.188 -2.382 4.318
In 6.569 -2.382 4.318
Ni 2.640 0.000 0.000
Ni 2.640 0.000 2.879
Ni 7.116 0.000 0.000
Ni 7.116 0.000 2.879
```

Computed properties:
Symmetry: Cmcm
M_tot in μB per cell: 0.00

***

The calculation returns the following final energy values, one per record and in order: -4.385; -4.703; -5.246; -4.433; -3.843; -4.762; -4.701; -4.373 eV per atom.